Record 1
Here is an optimized crystal structure of DyTiIn2 from the Alexandria database. Energies are from PBE.

Lattice parameters (Å, degrees): 3.3296 3.3296 10.1483 80.56 80.56 60.00
Last column: magnetic moment on the atom in μB.
Fractional positions:
In: 0.7432 0.7432 0.7705  0.01
In: 0.2568 0.2568 0.2295  0.01
Ti: 0.0000 0.0000 0.0000  0.66
Dy: 0.5000 0.5000 0.5000  -0.06

Results
The value obtained for the energy relative to the elements is -6 kJ/mol of atoms. For the uncorrected energy, the calculation gives -0.3351 Ry/atom. The calculated density is 7.6 Mg/m³.

---

Record 2
Here is an optimized crystal structure of Dy2TiIn from the Alexandria database. Energies are from PBE.

Lattice parameters (Å, degrees): 3.4857 3.4857 8.4032 90.00 90.00 90.00
Fractional positions:
In: 0.5000 0.5000 0.5000
Ti: 0.5000 0.5000 0.0000
Dy: 0.0000 0.0000 0.7559
Dy: 0.0000 0.0000 0.2441

Results
The value obtained for the energy relative to the elements is -9 kJ/mol of atoms. The offset from the most stable computed form is 19 meV/atom. For the uncorrected energy, the calculation gives -0.3712 Ry/atom. The calculated density is 7.9 Mg/m³.

---

Record 3
Here is an optimized crystal structure of DyTiIn from the Alexandria database. Energies are from PBE.

Lattice parameters (Å, degrees): 3.0804 3.0804 8.5725 100.35 100.35 90.00
Last column: magnetic moment on the atom in μB.
Fractional positions:
Ti: 0.9462 0.9462 0.8925  1.43
Dy: 0.1266 0.1266 0.2531  0.23
In: 0.7772 0.7772 0.5544  -0.01

Results
The value obtained for the energy relative to the elements is 53 kJ/mol of atoms. The offset from the most stable computed form is 737 meV/atom. For the uncorrected energy, the calculation gives -0.3329 Ry/atom. The calculated density is 6.9 Mg/m³.

---

Question: The highest calculated density belongs to which entry?
Answer: Dy2TiIn